(1)
GGA-PBE AgMoCl6, relaxed; uncorrected energy = -3.680 eV/atom; space-group type = No. 216
1.0
0.615 -6.613 1.148
-4.775 -4.249 -2.137
1.272 -4.204 -5.112
Mo Cl Ag
1 6 1
Direct
0.000 0.000 0.000
0.755 0.755 0.245
0.755 0.245 0.755
0.245 0.245 0.755
0.245 0.755 0.245
0.755 0.245 0.245
0.245 0.755 0.755
0.250 0.250 0.250

(2)
GGA-PBE HoHfSn, relaxed; uncorrected energy = -6.705 eV/atom; space-group type = No. 129
1.0
4.344 0.000 0.000
0.000 4.344 0.000
0.000 0.000 8.128
Ho Sn Hf
2 2 2
Direct
0.500 0.000 0.163
0.000 0.500 0.837
0.500 0.000 0.768
0.000 0.500 0.232
0.000 0.000 0.500
0.500 0.500 0.500